Entry 1:
Below is a relaxed structure of Lu4NiAuC2, with properties calculated at the PBE-GGA level.

Cell: 3.5592 3.5592 13.3212 Å, 90.00 90.00 120.00°
Fractional positions:
Lu (0.0000, 0.0000, 0.1412)
Lu (0.0000, 0.0000, 0.8588)
Lu (0.3333, 0.6667, 0.3362)
Lu (0.3333, 0.6667, 0.6638)
Ni (0.3333, 0.6667, 0.0000)
Au (0.0000, 0.0000, 0.5000)
C (0.6667, 0.3333, 0.2439)
C (0.6667, 0.3333, 0.7561)

**Calculated density**: 11.13 Mg/m³
**M_tot**: 0.021 μB/cell
**Crystal system**: hexagonal
**Raw total energy**: -6.109 eV per atom


Entry 2:
Below is a relaxed structure of Os3N5, with properties calculated at the PBE-GGA level.

Cell: 5.4755 5.4755 10.3095 Å, 90.00 90.00 140.81°
Fractional positions:
Os (0.1012, 0.8988, 0.5772)
Os (0.1012, 0.8988, 0.9228)
Os (0.2047, 0.7953, 0.2500)
Os (0.7953, 0.2047, 0.7500)
Os (0.8988, 0.1012, 0.0772)
Os (0.8988, 0.1012, 0.4228)
N (0.0786, 0.9214, 0.1143)
N (0.0786, 0.9214, 0.3857)
N (0.2136, 0.7864, 0.7500)
N (0.3440, 0.6560, 0.1027)
N (0.3440, 0.6560, 0.3973)
N (0.6560, 0.3440, 0.6027)
N (0.6560, 0.3440, 0.8973)
N (0.7864, 0.2136, 0.2500)
N (0.9214, 0.0786, 0.6143)
N (0.9214, 0.0786, 0.8857)

**Calculated density**: 10.89 Mg/m³
**M_tot**: 0.015 μB/cell
**Crystal system**: orthorhombic
**Raw total energy**: -8.793 eV per atom


Entry 3:
Below is a relaxed structure of DyLuTlC, with properties calculated at the PBE-GGA level.

Cell: 3.5701 3.5701 16.0980 Å, 90.00 90.00 120.00°
Fractional positions:
Dy (0.0000, 0.0000, 0.1710)
Dy (0.0000, 0.0000, 0.8290)
Lu (0.3333, 0.6667, 0.3363)
Lu (0.3333, 0.6667, 0.6637)
Tl (0.0000, 0.0000, 0.5000)
Tl (0.3333, 0.6667, 0.0000)
C (0.6667, 0.3333, 0.2544)
C (0.6667, 0.3333, 0.7456)

**Calculated density**: 10.35 Mg/m³
**M_tot**: 0.290 μB/cell
**Crystal system**: hexagonal
**Raw total energy**: -5.580 eV per atom


Entry 4:
Below is a relaxed structure of NbTlNi2, with properties calculated at the PBE-GGA level.

Cell: 4.4295 4.4295 4.4295 Å, 60.00 60.00 60.00°
Fractional positions:
Nb (0.0000, 0.0000, 0.0000)
Tl (0.7500, 0.7500, 0.7500)
Ni (0.2500, 0.2500, 0.2500)
Ni (0.5000, 0.5000, 0.5000)

**Calculated density**: 11.21 Mg/m³
**M_tot**: 0.004 μB/cell
**Crystal system**: cubic
**Raw total energy**: -5.591 eV per atom


Entry 5:
Below is a relaxed structure of Zr4Nb3, with properties calculated at the PBE-GGA level.

Cell: 8.0846 5.2049 8.1123 Å, 90.00 119.67 90.00°
Fractional positions:
Zr (0.0654, 0.2500, 0.3132)
Zr (0.1897, 0.2500, 0.7538)
Zr (0.2512, 0.7500, 0.5632)
Zr (0.3348, 0.2500, 0.1676)
Zr (0.6652, 0.7500, 0.8324)
Zr (0.7488, 0.2500, 0.4368)
Zr (0.8103, 0.7500, 0.2462)
Zr (0.9346, 0.7500, 0.6868)
Nb (0.1013, 0.7500, 0.0964)
Nb (0.3999, 0.7500, 0.0023)
Nb (0.4963, 0.7500, 0.3983)
Nb (0.5037, 0.2500, 0.6017)
Nb (0.6001, 0.2500, 0.9977)
Nb (0.8987, 0.2500, 0.9036)

**Calculated density**: 7.21 Mg/m³
**ΔE_f**: 0.1842 eV/atom
**M_tot**: 0.005 μB/cell
**Crystal system**: monoclinic
**Raw total energy**: -9.026 eV per atom


Entry 6:
Below is a relaxed structure of ScAuSO, with properties calculated at the PBE-GGA level.

Cell: 3.7603 3.7603 9.0540 Å, 90.00 90.00 90.00°
Fractional positions:
Sc (0.2500, 0.2500, 0.1092)
Sc (0.7500, 0.7500, 0.8908)
Au (0.2500, 0.7500, 0.5000)
Au (0.7500, 0.2500, 0.5000)
S (0.2500, 0.2500, 0.7257)
S (0.7500, 0.7500, 0.2743)
O (0.2500, 0.7500, 0.0000)
O (0.7500, 0.2500, 0.0000)

**Calculated density**: 7.52 Mg/m³
**M_tot**: 0.003 μB/cell
**Crystal system**: tetragonal
**Raw total energy**: -6.269 eV per atom